VASP calculation (PBE-GGA) on an optimized crystal structure of Ce2DyH6.

Summary:
- E_tot (eV per atom) = -4.6540
- SG = Immm, No. 71

abc: 3.7687 5.3827 6.5551
angles: 114.24 106.70 90.00
Closest atoms and distances in Å follow each position.
Positions (direct):
1 Ce 0.3353 0.3352 0.6703  8 H 2.34-2.35
2 Ce 0.6647 0.6648 0.3297  8 H 2.34-2.35
3 H 0.1628 0.9212 0.3258  1 Dy 2.26, 3 Ce 2.34-2.35
4 H 0.8372 0.5954 0.6742  1 Dy 2.26, 3 Ce 2.34-2.35
5 H 0.1628 0.4046 0.3258  1 Dy 2.26, 3 Ce 2.34-2.35
6 H 0.8372 0.0788 0.6742  1 Dy 2.26, 3 Ce 2.34-2.35
7 H 0.5000 0.2364 0.0000  2 Dy 2.27, 2 Ce 2.35, 1 H 2.55
8 H 0.5000 0.7636 0.0000  2 Dy 2.27, 2 Ce 2.35, 1 H 2.55
9 Dy 0.0000 0.0000 0.0000  8 H 2.26-2.27

VASP calculation (PBE-GGA) on an optimized crystal structure of Ce2DyH.

Summary:
- E_tot (eV per atom) = -4.8932
- SG = P4/mmm, No. 123

abc: 3.2293 3.2293 8.4617
angles: 90.00 90.00 90.00
Closest atoms and distances in Å follow each position.
Positions (direct):
1 H 0.5000 0.5000 0.0000  8 Ce 2.67
2 Dy 0.5000 0.5000 0.5000  4 Dy 3.23
3 Ce 0.0000 0.0000 0.8364  4 H 2.67, 1 Ce 2.77
4 Ce 0.0000 0.0000 0.1636  4 H 2.67, 1 Ce 2.77

VASP calculation (PBE-GGA) on an optimized crystal structure of Ce2DyH8.

Summary:
- E_tot (eV per atom) = -4.4943
- SG = Immm, No. 71

abc: 3.8212 5.1892 6.5806
angles: 113.22 106.88 90.00
Closest atoms and distances in Å follow each position.
Positions (direct):
1 Dy 0.5000 0.0000 0.0000  8 H 2.21-2.31
2 H 0.3458 0.0996 0.6916  1 Dy 2.21, 3 Ce 2.31-2.40, 3 H 2.33-2.34
3 H 0.3458 0.5920 0.6916  1 Dy 2.21, 3 Ce 2.31-2.40, 3 H 2.33-2.34
4 H 0.0000 0.2505 0.0000  2 Dy 2.31, 2 Ce 2.35, 2 H 2.39
5 H 0.1750 0.1750 0.3500  8 H 2.33-2.39, 4 Ce 2.59-2.60
6 H 0.6542 0.4080 0.3084  1 Dy 2.21, 3 Ce 2.31-2.40, 3 H 2.33-2.34
7 H 0.6542 0.9004 0.3084  1 Dy 2.21, 3 Ce 2.31-2.40, 3 H 2.33-2.34
8 H 0.8250 0.8250 0.6500  8 H 2.33-2.39, 4 Ce 2.59-2.60
9 H 0.0000 0.7495 0.0000  2 Dy 2.31, 2 Ce 2.35, 2 H 2.39
10 Ce 0.1709 0.6709 0.3418  8 H 2.31-2.40
11 Ce 0.8291 0.3291 0.6582  8 H 2.31-2.40

VASP calculation (PBE-GGA) on an optimized crystal structure of Ce3DyH.

Summary:
- E_tot (eV per atom) = -5.2179
- SG = Pm-3m, No. 221

abc: 4.9679 4.9679 4.9679
angles: 90.00 90.00 90.00
Closest atoms and distances in Å follow each position.
Positions (direct):
1 H 0.0000 0.0000 0.0000  6 Ce 2.48
2 Dy 0.5000 0.5000 0.5000  12 Ce 3.51
3 Ce 0.5000 0.0000 0.0000  2 H 2.48
4 Ce 0.0000 0.5000 0.0000  2 H 2.48
5 Ce 0.0000 0.0000 0.5000  2 H 2.48

VASP calculation (PBE-GGA) on an optimized crystal structure of CeDyH2.

Summary:
- E_tot (eV per atom) = -4.6728
- SG = R-3m, No. 166

abc: 3.4817 3.4817 6.1717
angles: 73.62 73.62 60.00
Closest atoms and distances in Å follow each position.
Positions (direct):
1 Dy 0.0000 0.0000 0.0000  6 H 2.44
2 H 0.7460 0.7460 0.7621  3 Dy 2.44, 3 Ce 2.53
3 H 0.2540 0.2540 0.2379  3 Dy 2.44, 3 Ce 2.53
4 Ce 0.5000 0.5000 0.5000  6 H 2.53

VASP calculation (PBE-GGA) on an optimized crystal structure of CeDy2H8.

Summary:
- E_tot (eV per atom) = -4.4110
- SG = Immm, No. 71

abc: 3.6698 5.3380 6.3962
angles: 114.66 106.67 90.00
Closest atoms and distances in Å follow each position.
Positions (direct):
1 H 0.6653 0.8997 0.3307  3 Dy 2.22-2.31, 1 Ce 2.31, 3 H 2.32-2.34
2 H 0.3347 0.1003 0.6693  3 Dy 2.22-2.31, 1 Ce 2.31, 3 H 2.32-2.34
3 H 0.0000 0.2815 0.0000  2 Dy 2.21, 3 H 2.28-2.33, 2 Ce 2.37
4 H 0.8451 0.8451 0.6902  8 H 2.28-2.34, 2 Ce 2.51
5 H 0.3347 0.5690 0.6693  3 Dy 2.22-2.31, 1 Ce 2.31, 3 H 2.32-2.34
6 H 0.0000 0.7185 0.0000  2 Dy 2.21, 3 H 2.28-2.33, 2 Ce 2.37
7 H 0.1549 0.1549 0.3098  8 H 2.28-2.34, 2 Ce 2.51
8 H 0.6653 0.4310 0.3307  3 Dy 2.22-2.31, 1 Ce 2.31, 3 H 2.32-2.34
9 Dy 0.1697 0.6697 0.3394  8 H 2.21-2.31
10 Dy 0.8303 0.3303 0.6606  8 H 2.21-2.31
11 Ce 0.5000 0.0000 0.0000  12 H 2.31-2.51

VASP calculation (PBE-GGA) on an optimized crystal structure of Ce2DyH.

Summary:
- E_tot (eV per atom) = -5.0334
- SG = R-3m, No. 166

abc: 3.4519 3.4519 9.1170
angles: 79.09 79.09 60.00
Closest atoms and distances in Å follow each position.
Positions (direct):
1 Ce 0.2769 0.2769 0.1693  3 H 2.50
2 Ce 0.7231 0.7231 0.8307  3 H 2.50
3 H 0.0000 0.0000 0.0000  6 Ce 2.50
4 Dy 0.5000 0.5000 0.5000  6 Dy 3.45, 6 Ce 3.55

VASP calculation (PBE-GGA) on an optimized crystal structure of CeDyH2.

Summary:
- E_tot (eV per atom) = -4.5933
- SG = R3m, No. 160

abc: 3.4102 3.4102 6.3941
angles: 74.53 74.53 60.00
Closest atoms and distances in Å follow each position.
Positions (direct):
1 H 0.0760 0.0760 0.7720  3 Dy 2.38, 3 Ce 2.50
2 H 0.2605 0.2605 0.2185  3 Dy 2.40, 3 Ce 2.68
3 Ce 0.4940 0.4940 0.5179  6 H 2.50-2.68
4 Dy 0.6695 0.6695 0.9916  6 H 2.38-2.40

VASP calculation (PBE-GGA) on an optimized crystal structure of CeDyNi2H8.

Summary:
- E_tot (eV per atom) = -4.4200
- SG = R-3m, No. 166

abc: 4.3725 4.3725 6.9112
angles: 71.56 71.56 60.00
Closest atoms and distances in Å follow each position.
Positions (direct):
1 Ni 0.7570 0.7570 0.7290  4 H 1.56-1.61
2 Ni 0.2430 0.2430 0.2710  4 H 1.56-1.61
3 Dy 0.0000 0.0000 0.0000  12 H 2.45
4 H 0.5360 0.5361 0.8288  1 Ni 1.56
5 H 0.1595 0.1595 0.5216  1 Ni 1.61
6 H 0.4640 0.4639 0.1712  1 Ni 1.56
7 H 0.5361 0.0991 0.8288  1 Ni 1.56
8 H 0.4639 0.9009 0.1712  1 Ni 1.56
9 H 0.8405 0.8405 0.4784  1 Ni 1.61
10 H 0.0991 0.5360 0.8288  1 Ni 1.56
11 H 0.9009 0.4640 0.1712  1 Ni 1.56
12 Ce 0.5000 0.5000 0.5000  12 H 2.39-2.53

VASP calculation (PBE-GGA) on an optimized crystal structure of CeDyH8Rh2.

Summary:
- E_tot (eV per atom) = -4.6354
- SG = R-3, No. 148

abc: 4.8638 4.8638 6.5518
angles: 68.21 68.21 60.00
Closest atoms and distances in Å follow each position.
Positions (direct):
1 H 0.4536 0.6089 0.8235  1 Rh 1.69
2 H 0.3911 0.8859 0.1765  1 Rh 1.69
3 H 0.1141 0.4536 0.8235  1 Rh 1.69
4 H 0.8262 0.8262 0.5215  1 Rh 1.62
5 H 0.8859 0.5464 0.1765  1 Rh 1.69
6 H 0.6089 0.1141 0.8235  1 Rh 1.69
7 H 0.1738 0.1738 0.4785  1 Rh 1.62
8 H 0.5464 0.3911 0.1765  1 Rh 1.69
9 Dy 0.0000 0.0000 0.0000  6 H 2.32
10 Ce 0.5000 0.5000 0.5000  6 H 2.28
11 Rh 0.2650 0.2650 0.2051  4 H 1.62-1.69
12 Rh 0.7350 0.7350 0.7949  4 H 1.62-1.69

VASP calculation (PBE-GGA) on an optimized crystal structure of CeDyHf2.

Summary:
- SG = P4/mmm, No. 123
- formation energy from the elements (meV per atom) = 187.4

abc: 4.7587 4.6453 4.6453
angles: 90.00 90.00 90.00
Closest atoms and distances in Å follow each position.
Positions (direct):
1 Ce 0.5000 0.0000 0.0000  4 Dy 3.28, 8 Hf 3.33
2 Hf 0.0000 0.0000 0.5000  4 Hf 3.28, 4 Dy 3.33, 4 Ce 3.33
3 Hf 0.0000 0.5000 0.0000  4 Hf 3.28, 4 Dy 3.33, 4 Ce 3.33
4 Dy 0.5000 0.5000 0.5000  4 Ce 3.28, 8 Hf 3.33

VASP calculation (PBE-GGA) on an optimized crystal structure of Ce2DyHf.

Summary:
- SG = R-3m, No. 166
- formation energy from the elements (meV per atom) = 152.6

abc: 3.3446 3.3446 11.3487
angles: 81.53 81.53 60.00
Closest atoms and distances in Å follow each position.
Positions (direct):
1 Dy 0.5000 0.5000 0.5000  6 Dy 3.34, 6 Ce 3.51
2 Ce 0.2540 0.2540 0.2379  3 Hf 3.29, 6 Ce 3.34, 3 Dy 3.51
3 Ce 0.7460 0.7460 0.7621  3 Hf 3.29, 6 Ce 3.34, 3 Dy 3.51
4 Hf 0.0000 0.0000 0.0000  6 Ce 3.29, 6 Hf 3.34

Repeat the ninth record exactly.
VASP calculation (PBE-GGA) on an optimized crystal structure of CeDyNi2H8.

Summary:
- E_tot (eV per atom) = -4.4200
- SG = R-3m, No. 166

abc: 4.3725 4.3725 6.9112
angles: 71.56 71.56 60.00
Closest atoms and distances in Å follow each position.
Positions (direct):
1 Ni 0.7570 0.7570 0.7290  4 H 1.56-1.61
2 Ni 0.2430 0.2430 0.2710  4 H 1.56-1.61
3 Dy 0.0000 0.0000 0.0000  12 H 2.45
4 H 0.5360 0.5361 0.8288  1 Ni 1.56
5 H 0.1595 0.1595 0.5216  1 Ni 1.61
6 H 0.4640 0.4639 0.1712  1 Ni 1.56
7 H 0.5361 0.0991 0.8288  1 Ni 1.56
8 H 0.4639 0.9009 0.1712  1 Ni 1.56
9 H 0.8405 0.8405 0.4784  1 Ni 1.61
10 H 0.0991 0.5360 0.8288  1 Ni 1.56
11 H 0.9009 0.4640 0.1712  1 Ni 1.56
12 Ce 0.5000 0.5000 0.5000  12 H 2.39-2.53